TbZr2: relaxed, PBE-GGA.

- ΔE_f (kJ/mol of formula units) = 25
- volume (Å³/atom) = 25.494
- energy (eV per cell) = -85.85

Cell: 3.3143 5.3117 17.3781 Å, 90.00 90.00 90.00°
Space group Pmmn (No. 59, origin choice 2)
One atom of each set of equivalent atoms:
Tb: 0.2500 0.2500 0.1382 (multiplicity 2)
Tb: 0.2500 0.7500 0.3623 (multiplicity 2)
Zr: 0.2500 0.2500 0.4687 (multiplicity 2)
Zr: 0.2500 0.2500 0.8039 (multiplicity 2)
Zr: 0.2500 0.7500 0.0308 (multiplicity 2)
Zr: 0.2500 0.7500 0.6954 (multiplicity 2)

---

CdAgAu2: relaxed, PBE-GGA.

- ΔE_f (kJ/mol of formula units) = -54
- volume (Å³/atom) = 18.568
- energy (eV per cell) = -10.81

Cell: 4.3168 4.3168 3.9856 Å, 90.00 90.00 90.00°
Space group P4/mmm (No. 123)
One atom of each set of equivalent atoms:
Cd: 0.0000 0.0000 0.0000 (multiplicity 1)
Ag: 0.5000 0.5000 0.0000 (multiplicity 1)
Au: 0.0000 0.5000 0.5000 (multiplicity 2)

---

NdHfNi: relaxed, PBE-GGA.

- ΔE_f (kJ/mol of formula units) = 44
- volume (Å³/atom) = 23.410
- energy (eV per cell) = -79.31

Cell: 6.5492 6.5492 6.5492 Å, 90.00 90.00 90.00°
Space group F-43m (No. 216)
One atom of each set of equivalent atoms:
Nd: 0.0000 0.0000 0.0000 (multiplicity 4)
Hf: 0.0000 0.0000 0.5000 (multiplicity 4)
Ni: 0.2500 0.2500 0.7500 (multiplicity 4)

---

Al2Ni11: relaxed, PBE-GGA.

- volume (Å³/atom) = 11.526
- energy (eV per cell) = -208.64

Cell: 4.6711 4.6711 23.7886 Å, 90.00 90.00 120.00°
Space group R-3m (No. 166, hexagonal axes)
One atom of each set of equivalent atoms:
Al: 0.0000 0.0000 0.1657 (multiplicity 6)
Ni: 0.0000 0.0000 0.0000 (multiplicity 3)
Ni: 0.0000 0.0000 0.3487 (multiplicity 6)
Ni: 0.0000 0.0000 0.4507 (multiplicity 6)
Ni: 0.0038 0.5019 0.4134 (multiplicity 18)

---

Pr2Dy2BICl4: relaxed, PBE-GGA.

- volume (Å³/atom) = 30.764
- energy (eV per cell) = -99.63

Cell: 17.5092 3.9855 9.0639 Å, 90.00 103.40 90.00°
Space group C2/m (No. 12)
One atom of each set of equivalent atoms:
Pr: 0.0010 0.0000 0.2975 (multiplicity 4)
Dy: 0.1467 0.5000 0.5722 (multiplicity 4)
B: 0.0000 0.5000 0.5000 (multiplicity 2)
I: 0.0000 0.5000 0.0000 (multiplicity 2)
Cl: 0.1704 0.0000 0.7847 (multiplicity 4)
Cl: 0.1755 0.0000 0.3752 (multiplicity 4)

---

Sc2In3Mo4C3: relaxed, PBE-GGA.

- volume (Å³/atom) = 15.682
- energy (eV per cell) = -381.09

Cell: 9.5679 5.5579 14.5323 Å, 90.00 103.08 90.00°
Space group C2/c (No. 15)
One atom of each set of equivalent atoms:
Sc: 0.0476 0.0805 0.4065 (multiplicity 8)
In: 0.0000 0.4526 0.2500 (multiplicity 4)
In: 0.1862 0.1021 0.7523 (multiplicity 8)
Mo: 0.1091 0.4092 0.5747 (multiplicity 8)
Mo: 0.2282 0.4213 0.9254 (multiplicity 8)
C: 0.0853 0.2555 0.9998 (multiplicity 8)
C: 0.2500 0.2500 0.5000 (multiplicity 4)